Here is a relaxed AlOsPt crystal from Alexandria. Energies are from PBEsol. Values from VASP.

Cell and atoms, written as Quantum ESPRESSO input:
```
&SYSTEM
  ibrav = 0, nat = 3, ntyp = 3
/
ATOMIC_SPECIES
Al 26.98 Al.upf
Os 190.23 Os.upf
Pt 195.08 Pt.upf
ATOMIC_POSITIONS crystal
Al 0.000 0.000 0.000
Os 0.343 0.343 0.657
Pt 0.657 0.657 0.343
CELL_PARAMETERS angstrom
0.000 2.330 6.459
1.434 0.000 6.459
1.434 2.330 0.000
```

Results
- Density of states at the Fermi level: 2.10 states/eV/cell
- Electronic total energy: -7.858 eV/atom
- Total magnetization: 0.00 μB per atom
- Energy relative to the elements: -0.101 eV/atom